MgAlF2: relaxed, PBE.

Unit cell a=4.395 b=4.395 c=4.395 alpha=60.00 beta=60.00 gamma=60.00
Positions (direct):
F  0.750  0.750  0.750
F  0.250  0.250  0.250
Al  0.500  0.500  0.500
Mg  0.000  0.000  0.000

As for the space group: Fm-3m, No. 225. The energy above the lowest structure with this stoichiometry is 1055.2 meV per atom. As for the energy relative to the elements, uncorrected: -1.27 eV per atom. The total energy is -14.2 eV per formula unit. The density of states at the Fermi level comes out at 3.3 states/eV per cell.